# 1
IrPbW4 (PBE, relaxed); total magnetization = 0.00 μB per formula unit; energy relative to the elements = 781 meV/atom
1.0
-4.641 -0.657 2.547
-1.809 3.806 3.270
-4.243 2.918 -1.393
Ir Pb W
1 1 4
Cartesian
-2.673 1.517 1.106
0.000 0.000 0.000
-4.360 4.124 1.489
-6.688 3.795 2.767
-5.780 1.885 1.127
-4.559 2.331 3.466



# 2
EuTlPd (PBE, relaxed); total magnetization = 7.16 μB per formula unit; energy relative to the elements = -463 meV/atom
1.0
-2.576 4.086 0.798
-4.491 -0.275 1.931
-0.794 1.537 4.580
Eu Tl Pd
1 1 1
Cartesian
0.000 0.000 0.000
-3.931 2.674 3.654
-1.965 1.337 1.827



# 3
YNbGa3 (PBE, relaxed); total magnetization = 0.00 μB per formula unit; distance to the lowest polymorph of the same formula = 1528 meV per atom; energy relative to the elements = 1333 meV/atom
1.0
-0.372 3.977 3.214
1.374 -3.026 3.904
4.926 1.145 -0.846
Y Nb Ga
1 1 3
Cartesian
0.000 0.000 0.000
2.964 1.048 3.136
0.687 -1.513 1.952
2.463 0.572 -0.423
-0.186 1.989 1.607



# 4
CrRu2W (PBE, relaxed); total magnetization = 0.00 μB per formula unit; distance to the lowest polymorph of the same formula = 681 meV per atom; energy relative to the elements = 761 meV/atom
1.0
3.803 0.000 0.000
0.000 3.803 0.000
1.902 1.902 8.529
Ru W Cr
4 2 2
Cartesian
2.760 0.951 2.132
1.044 2.853 2.132
2.853 2.945 6.396
4.754 4.661 6.396
0.000 0.000 0.000
3.803 1.902 4.264
1.902 1.902 0.000
1.902 3.803 4.264



# 5
ReCSe2 (PBE, relaxed); total magnetization = 0.00 μB per formula unit; formation energy without anion corrections = 6.0 eV per formula unit
1.0
2.916 1.382 6.940
5.049 2.669 5.094
2.494 4.254 5.852
Re C Se
1 1 2
Cartesian
5.229 4.153 8.943
0.000 0.000 0.000
6.334 5.030 10.832
4.125 3.275 7.054



# 6
CsMnTe2 (PBE, relaxed); total magnetization = 0.00 μB per formula unit; formation energy without anion corrections = -2.3 eV per formula unit
1.0
-5.414 0.554 -9.239
3.316 -4.633 -6.068
-1.197 -3.720 -0.358
Cs Mn Te
2 2 4
Cartesian
-0.456 -1.684 -2.104
-2.444 -6.297 -12.467
-1.899 -2.715 -8.286
-1.004 -5.266 -6.284
1.217 -4.000 -5.355
-0.777 -5.079 -8.989
-4.119 -3.981 -9.216
-2.125 -2.902 -5.582



# 7
Ce2InCuSe5 (PBE, relaxed); total magnetization = 1.79 μB per formula unit; distance to the lowest polymorph of the same formula = 27 meV per atom; formation energy without anion corrections = -10.5 eV per formula unit
1.0
4.063 0.000 0.000
-2.031 8.763 0.000
0.000 0.000 12.090
Ce In Cu Se
4 2 2 10
Cartesian
2.031 6.686 9.723
0.000 2.004 8.271
0.000 2.077 3.678
2.031 6.759 2.226
2.031 5.529 6.013
0.000 3.234 12.059
0.000 8.579 11.933
2.031 0.184 5.888
0.000 6.107 12.067
2.031 3.541 10.085
2.031 0.095 9.547
0.000 5.135 8.011
2.031 8.132 6.853
2.031 2.656 6.022
0.000 5.222 4.040
0.000 8.668 3.502
2.031 3.629 1.966
0.000 0.631 0.808



# 8
Be3PdAu (PBE, relaxed); total magnetization = 0.00 μB per formula unit; distance to the lowest polymorph of the same formula = 694 meV per atom; energy relative to the elements = 413 meV/atom
1.0
4.197 0.000 0.000
0.000 4.197 0.000
0.000 0.000 4.197
Be Au Pd
3 1 1
Cartesian
0.000 2.098 0.000
0.000 0.000 2.098
2.098 0.000 0.000
2.098 2.098 2.098
0.000 0.000 0.000



# 9
NaTh3Te4 (PBE, relaxed); total magnetization = 0.00 μB per formula unit; formation energy without anion corrections = -8.4 eV per formula unit
1.0
4.475 0.000 0.000
0.000 4.475 0.000
0.000 0.000 12.604
Na Te Th
1 4 3
Cartesian
0.000 0.000 0.000
0.000 0.000 3.084
2.237 2.237 0.000
0.000 0.000 9.520
2.237 2.237 6.302
2.237 2.237 9.430
0.000 0.000 6.302
2.237 2.237 3.174



# 10
KBe2Al (PBE, relaxed); total magnetization = 0.00 μB per formula unit; energy relative to the elements = 545 meV/atom
1.0
4.859 0.000 0.002
4.102 2.604 0.002
1.449 0.421 6.251
Be K Al
2 1 1
Cartesian
0.193 0.056 0.061
7.452 2.166 5.441
5.150 1.497 3.254
2.820 0.820 0.627



# 11
Er2Si3Os (PBE, relaxed); total magnetization = 0.00 μB per formula unit; distance to the lowest polymorph of the same formula = 0 meV per atom; formation energy without anion corrections = -3.8 eV per formula unit
1.0
3.892 0.000 1.630
1.704 5.021 1.391
-0.086 -0.018 5.666
Er Si Os
2 3 1
Cartesian
2.394 0.932 5.205
3.042 4.088 3.659
4.327 2.912 6.052
3.601 1.393 2.324
1.883 3.694 6.427
1.285 1.988 2.394



# 12
BaCa2Ta (PBE, relaxed); total magnetization = 0.00 μB per formula unit; distance to the lowest polymorph of the same formula = 74 meV per atom; energy relative to the elements = 729 meV/atom
1.0
-7.210 9.444 3.949
-8.768 6.824 5.772
-5.906 8.454 7.100
Ca Ba Ta
2 1 1
Cartesian
-21.802 24.628 16.758
-5.212 5.888 4.007
-16.683 18.845 12.823
-11.015 12.443 8.466



# 13
KMn2InSe (PBE, relaxed); total magnetization = 0.48 μB per formula unit; formation energy without anion corrections = 12.3 eV per formula unit
1.0
4.504 0.000 0.000
0.000 5.757 0.000
0.000 0.000 4.504
K Mn Se In
1 2 1 1
Cartesian
0.000 0.000 0.000
0.000 0.000 2.252
2.252 0.000 0.000
2.252 2.879 2.252
0.000 2.879 0.000



# 14
U2Hg2Cl7 (PBE, relaxed); total magnetization = 5.00 μB per formula unit; formation energy without anion corrections = -14.6 eV per formula unit
1.0
-0.230 6.574 6.869
-2.534 -5.274 4.161
5.529 -3.602 2.831
U Hg Cl
2 2 7
Cartesian
2.056 -0.380 11.983
0.709 -1.923 1.877
-0.902 -1.625 7.307
3.667 -0.677 6.553
0.343 -5.549 6.419
-1.067 2.522 8.017
2.421 3.246 7.442
3.832 -4.825 5.843
0.000 0.000 0.000
1.507 0.424 9.664
1.258 -2.727 4.196



# 15
Zn2TcCl (PBE, relaxed); total magnetization = 1.29 μB per formula unit; distance to the lowest polymorph of the same formula = 244 meV per atom; formation energy without anion corrections = 1.1 eV per formula unit
1.0
2.926 0.000 0.000
0.000 2.926 0.000
0.000 0.000 8.042
Cl Tc Zn
1 1 2
Cartesian
0.000 0.000 4.519
1.463 1.463 6.105
0.000 0.000 7.869
1.463 1.463 1.611



# 16
CdSn (PBE, relaxed); total magnetization = 0.00 μB per formula unit; energy relative to the elements = 141 meV/atom
1.0
4.265 0.000 0.000
2.133 3.694 0.000
2.133 1.231 3.482
Sn Cd
1 1
Cartesian
4.265 2.462 1.741
0.000 0.000 0.000



# 17
Co2AuCl (PBE, relaxed); total magnetization = 3.73 μB per formula unit; distance to the lowest polymorph of the same formula = 472 meV per atom; formation energy without anion corrections = 2.6 eV per formula unit
1.0
-0.078 -4.268 -1.044
1.650 -2.973 2.784
-2.691 -2.737 2.141
Co Au Cl
2 1 1
Cartesian
-0.280 -2.495 0.970
-0.839 -7.484 2.911
-0.559 -4.989 1.941
0.000 0.000 0.000



# 18
LiP2Os (PBE, relaxed); total magnetization = 0.00 μB per formula unit; distance to the lowest polymorph of the same formula = 606 meV per atom; energy relative to the elements = 364 meV/atom
1.0
4.174 0.000 0.000
2.087 3.615 0.000
2.087 1.205 3.408
Li Os P
1 1 2
Cartesian
4.174 2.410 1.704
2.087 1.205 0.852
0.000 0.000 0.000
6.261 3.615 2.556



# 19
Sr8Al2Pb (PBE, relaxed); total magnetization = 0.29 μB per formula unit; energy relative to the elements = -124 meV/atom
1.0
5.376 0.000 -1.636
-1.352 7.823 -4.443
0.102 0.400 9.987
Sr Al Pb
8 2 1
Cartesian
2.400 7.008 -1.766
1.137 4.625 3.737
0.621 1.266 2.040
-0.418 2.418 -1.373
3.506 6.957 1.868
2.989 3.597 0.171
1.727 1.215 5.674
4.544 5.804 5.281
0.115 5.524 0.378
4.011 2.698 3.530
2.688 0.000 -0.818



# 20
Ce2Al2ZnNi5 (PBE, relaxed); total magnetization = 1.53 μB per formula unit; energy relative to the elements = -275 meV/atom
1.0
2.853 0.000 0.000
0.000 10.393 0.000
0.000 0.000 10.393
Ce Al Zn Ni
4 4 2 10
Cartesian
0.000 6.980 1.784
0.000 3.413 8.609
0.000 1.784 3.413
0.000 8.609 6.980
0.000 1.361 6.558
0.000 9.032 3.835
0.000 6.558 9.032
0.000 3.835 1.361
0.000 0.000 0.000
0.000 5.197 5.197
1.426 1.964 0.601
1.426 8.429 9.792
1.426 0.601 8.429
1.426 7.161 4.596
1.426 9.792 1.964
1.426 3.232 5.798
1.426 5.798 7.161
1.426 4.596 3.232
1.426 5.197 0.000
1.426 0.000 5.197